This record from Alexandria via LeMat-Bulk describes crystalline La2Sm6Ho3Sc at its relaxed geometry. The functional is GGA-PBE.

Values from the calculation:
Volume   32.8 A^3/atom
Raw total energy   -4.822 eV per atom
Symmetry   C2/m, No. 12
Spin magnetization   0.0 Bohr magnetons per cell
Energy of formation   0.37 eV/f.u.

a = 6.2222 Å, b = 6.2222 Å, c = 11.9127 Å
α = 95.03°, β = 95.03°, γ = 120.02°
Atoms (fractional coordinates):
Sm  0.9164  0.5874  0.7470
Sm  0.4126  0.0836  0.2530
Sm  0.2459  0.2459  0.7465
Sm  0.0836  0.4126  0.2530
Sm  0.5874  0.9164  0.7470
Sm  0.7541  0.7541  0.2535
Ho  0.1662  0.8338  0.5000
Ho  0.8338  0.1662  0.5000
Ho  0.5000  0.5000  0.5000
La  0.3335  0.6665  0.0000
La  0.6665  0.3335  0.0000
Sc  0.0000  0.0000  0.0000

***

This record from Alexandria via LeMat-Bulk describes crystalline SmCdNi4 at its relaxed geometry. The functional is GGA-PBE.

Values from the calculation:
Volume   14.9 A^3/atom
Raw total energy   -5.109 eV per atom
Symmetry   F-43m, No. 216
Spin magnetization   0.0 Bohr magnetons per cell
Energy of formation   -1.89 eV/f.u.

a = 5.0185 Å, b = 5.0185 Å, c = 5.0185 Å
α = 60.00°, β = 60.00°, γ = 60.00°
Atoms (fractional coordinates):
Sm  0.2500  0.2500  0.2500
Cd  0.0000  0.0000  0.0000
Ni  0.1217  0.6261  0.6261
Ni  0.6261  0.6261  0.6261
Ni  0.6261  0.1217  0.6261
Ni  0.6261  0.6261  0.1217

***

This record from Alexandria via LeMat-Bulk describes crystalline KAlTlAu2 at its relaxed geometry. The functional is GGA-PBE.

Values from the calculation:
Volume   27.9 A^3/atom
Raw total energy   -2.857 eV per atom
Symmetry   P4/mmm, No. 123
Spin magnetization   0.0 Bohr magnetons per cell
Energy of formation   -0.52 eV/f.u.

a = 5.0842 Å, b = 5.0842 Å, c = 5.3925 Å
α = 90.00°, β = 90.00°, γ = 90.00°
Atoms (fractional coordinates):
Au  0.0000  0.5000  0.0000
Au  0.5000  0.0000  0.0000
K  0.5000  0.5000  0.5000
Al  0.0000  0.0000  0.0000
Tl  0.0000  0.0000  0.5000

***

The lowest volume belongs to which entry?
SmCdNi4

***

Please write out number 3 again, unchanged.
This record from Alexandria via LeMat-Bulk describes crystalline KAlTlAu2 at its relaxed geometry. The functional is GGA-PBE.

Values from the calculation:
Volume   27.9 A^3/atom
Raw total energy   -2.857 eV per atom
Symmetry   P4/mmm, No. 123
Spin magnetization   0.0 Bohr magnetons per cell
Energy of formation   -0.52 eV/f.u.

a = 5.0842 Å, b = 5.0842 Å, c = 5.3925 Å
α = 90.00°, β = 90.00°, γ = 90.00°
Atoms (fractional coordinates):
Au  0.0000  0.5000  0.0000
Au  0.5000  0.0000  0.0000
K  0.5000  0.5000  0.5000
Al  0.0000  0.0000  0.0000
Tl  0.0000  0.0000  0.5000

***

Number 3 is which compound?
KAlTlAu2